Crystalline Sr2CrMoO6 at its relaxed geometry, computed with PBE+U.

For the total energy, the calculation gives -7.12 eV per atom.

The space group is P2_1/c (No. 14) and the conventional cell measures 5.6354, 5.6174 and 9.7851 Å, with angles of 90.00, 125.11 and 90.00 degrees. The distinct sites, in fractional coordinates, are Sr at (0.2472, 0.0119, 0.2500), Cr at (0.5000, 0.0000, 0.0000), Mo at (0.0000, 0.0000, 0.5000), O at (0.2020, 0.2334, 0.9665), O at (0.2311, 0.7313, 0.9741) and O at (0.3066, 0.0102, 0.7503).